# 1
Computed, not measured: crystalline KTl5 at its relaxed geometry at the PBEsol level of DFT.

Summary:
* N(E_F): 2.81 states/eV/f.u.
* offset from the most stable computed form: 4.8 meV/atom
* DFT formation energy: -45 meV per atom
* ρ: 9.9 g/cm³

Unit cell a=3.7429 b=6.7446 c=7.6883 alpha=106.28 beta=90.00 gamma=106.11
Element x y z (fractional)
Tl: 0.6950 0.3900 0.4109
Tl: 0.3603 0.7206 0.6998
Tl: 0.0279 0.0557 0.5558
Tl: 0.7100 0.4200 0.8750
Tl: 0.3458 0.6915 0.2365
K: 0.0277 0.0555 0.0554


# 2
Computed, not measured: crystalline KTl4 at its relaxed geometry at the PBEsol level of DFT.

Summary:
* N(E_F): 4.87 states/eV/f.u.
* DFT formation energy: 484 meV per atom
* ρ: 7.6 g/cm³

Unit cell a=6.2538 b=6.2538 c=6.2538 alpha=109.47 beta=109.47 gamma=109.47
Element x y z (fractional)
Tl: 0.0000 0.5000 0.0000
Tl: 0.5000 0.5000 0.5000
K: 0.0000 0.0000 0.0000
Tl: 0.0000 0.0000 0.5000
Tl: 0.5000 0.0000 0.0000


# 3
Computed, not measured: crystalline KTl at its relaxed geometry at the PBEsol level of DFT.

Summary:
* N(E_F): 0.34 states/eV/f.u.
* DFT formation energy: -119 meV per atom
* ρ: 5.3 g/cm³

Unit cell a=7.8708 b=10.7800 c=10.7800 alpha=91.09 beta=90.00 gamma=90.00
Element x y z (fractional)
K: 0.5000 0.6801 0.3199
K: 0.2500 0.0279 0.5279
K: 0.9288 0.7998 0.7998
K: 0.4288 0.7002 0.7002
K: 0.5000 0.3199 0.6801
K: 0.0000 0.8199 0.1801
Tl: 0.5684 0.0075 0.7783
K: 0.7500 0.4721 0.9721
K: 0.0712 0.2002 0.2002
Tl: 0.2795 0.9605 0.9605
K: 0.7500 0.9721 0.4721
Tl: 0.9316 0.5075 0.2783
Tl: 0.9316 0.2783 0.5075
Tl: 0.7795 0.5395 0.5395
K: 0.0000 0.1801 0.8199
Tl: 0.4316 0.2217 0.9925
K: 0.5712 0.2998 0.2998
Tl: 0.2205 0.4605 0.4605
Tl: 0.0684 0.7217 0.4925
Tl: 0.0684 0.4925 0.7217
Tl: 0.7205 0.0395 0.0395
Tl: 0.4316 0.9925 0.2217
K: 0.2500 0.5279 0.0279
Tl: 0.5684 0.7783 0.0075


# 4
Computed, not measured: crystalline KTl at its relaxed geometry at the PBEsol level of DFT.

Summary:
* N(E_F): 1.10 states/eV/f.u.
* DFT formation energy: -70 meV per atom
* ρ: 5.6 g/cm³

Unit cell a=4.1880 b=6.9754 c=8.3309 alpha=108.90 beta=90.00 gamma=107.47
Element x y z (fractional)
Tl: 0.3059 0.6119 0.1566
Tl: 0.9527 0.9054 0.4221
K: 0.9470 0.8940 0.9410
Tl: 0.3371 0.6741 0.5794
K: 0.6362 0.2723 0.3075
K: 0.6545 0.3089 0.7600


# 5
Computed, not measured: crystalline KTl7 at its relaxed geometry at the PBEsol level of DFT.

Summary:
* N(E_F): 3.63 states/eV/f.u.
* DFT formation energy: -4 meV per atom
* ρ: 10.6 g/cm³

Unit cell a=6.8730 b=6.8730 c=6.8730 alpha=60.00 beta=60.00 gamma=60.00
Element x y z (fractional)
K: 0.0000 0.0000 0.0000
Tl: 0.0000 0.0000 0.5000
Tl: 0.5000 0.5000 0.0000
Tl: 0.5000 0.5000 0.5000
Tl: 0.0000 0.5000 0.0000
Tl: 0.5000 0.0000 0.5000
Tl: 0.5000 0.0000 0.0000
Tl: 0.0000 0.5000 0.5000


# 6
Computed, not measured: crystalline KTl5 at its relaxed geometry at the PBEsol level of DFT.

Summary:
* N(E_F): 3.29 states/eV/f.u.
* offset from the most stable computed form: 39.8 meV/atom
* DFT formation energy: -10 meV per atom
* ρ: 9.0 g/cm³

Unit cell a=5.3199 b=6.5029 c=6.5029 alpha=120.00 beta=90.00 gamma=90.00
Element x y z (fractional)
Tl: 0.5000 0.0000 0.5000
K: 0.0000 0.0000 0.0000
Tl: 0.5000 0.5000 0.5000
Tl: 0.0000 0.3333 0.6667
Tl: 0.0000 0.6667 0.3333
Tl: 0.5000 0.5000 0.0000


# 7
Computed, not measured: crystalline KTl at its relaxed geometry at the PBEsol level of DFT.

Summary:
* N(E_F): 1.21 states/eV/f.u.
* DFT formation energy: -55 meV per atom
* ρ: 5.1 g/cm³

Unit cell a=3.7599 b=8.2564 c=8.8781 alpha=117.71 beta=102.23 gamma=90.00
Element x y z (fractional)
Tl: 0.3926 0.8998 0.7852
K: 0.0000 0.3230 0.0000
Tl: 0.0000 0.7578 0.0000
K: 0.7032 0.8234 0.4064
K: 0.2968 0.4170 0.5936
Tl: 0.6074 0.1146 0.2148


# 8
Computed, not measured: crystalline KTl5 at its relaxed geometry at the PBEsol level of DFT.

Summary:
* N(E_F): 2.41 states/eV/f.u.
* offset from the most stable computed form: 3.9 meV/atom
* DFT formation energy: -46 meV per atom
* ρ: 10.0 g/cm³

Unit cell a=5.4507 b=6.1138 c=6.1138 alpha=120.00 beta=90.00 gamma=90.00
Element x y z (fractional)
K: 0.5000 0.0000 0.0000
Tl: 0.5000 0.3333 0.6667
Tl: 0.0000 0.6415 0.0000
Tl: 0.0000 0.3585 0.3585
Tl: 0.0000 0.0000 0.6415
Tl: 0.5000 0.6667 0.3333


# 9
Computed, not measured: crystalline KTl5 at its relaxed geometry at the PBEsol level of DFT.

Summary:
* N(E_F): 3.10 states/eV/f.u.
* offset from the most stable computed form: 29.4 meV/atom
* DFT formation energy: -21 meV per atom
* ρ: 9.6 g/cm³

Unit cell a=6.3855 b=6.3855 c=6.3855 alpha=60.00 beta=60.00 gamma=60.00
Element x y z (fractional)
Tl: 0.6245 0.6245 0.6245
Tl: 0.2500 0.2500 0.2500
K: 0.0000 0.0000 0.0000
Tl: 0.6245 0.6245 0.1265
Tl: 0.1265 0.6245 0.6245
Tl: 0.6245 0.1265 0.6245


# 10
Computed, not measured: crystalline KTl3W at its relaxed geometry at the PBEsol level of DFT.

Summary:
* N(E_F): 4.81 states/eV/f.u.
* DFT formation energy: 2078 meV per atom
* ρ: 7.7 g/cm³

Unit cell a=5.6584 b=5.6584 c=5.6584 alpha=90.00 beta=90.00 gamma=90.00
Each line ends with the local moment (μB).
Element x y z (fractional)
K: 0.0000 0.0000 0.0000  -0.04
W: 0.5000 0.5000 0.5000  3.23
Tl: 0.0000 0.5000 0.0000  -0.05
Tl: 0.5000 0.0000 0.0000  -0.05
Tl: 0.0000 0.0000 0.5000  -0.05


# 11
Computed, not measured: crystalline KTlW2 at its relaxed geometry at the PBEsol level of DFT.

Summary:
* N(E_F): 2.55 states/eV/f.u.
* offset from the most stable computed form: 3.3 meV/atom
* DFT formation energy: 1350 meV per atom
* ρ: 12.5 g/cm³

Unit cell a=2.9090 b=2.9090 c=11.2021 alpha=82.54 beta=82.54 gamma=60.00
Element x y z (fractional)
Tl: 0.0000 0.0000 0.0000
W: 0.2595 0.2595 0.2216
K: 0.5000 0.5000 0.5000
W: 0.7405 0.7405 0.7784


# 12
Computed, not measured: crystalline KTlW at its relaxed geometry at the PBEsol level of DFT.

Summary:
* N(E_F): 1.83 states/eV/f.u.
* offset from the most stable computed form: 0.0 meV/atom
* DFT formation energy: 1053 meV per atom
* ρ: 10.5 g/cm³

Unit cell a=2.8817 b=2.8817 c=8.4854 alpha=97.68 beta=97.68 gamma=102.31
Element x y z (fractional)
W: 0.6781 0.6781 0.3563
Tl: 0.3221 0.3221 0.6442
K: 0.9998 0.9998 0.9996